Record 1
VASP calculation (PBE) on Ba2AsRh after structural relaxation.

The structure in POSCAR format:
```
Ba2AsRh
1.0
-3.326 -3.484 2.272
0.662 -1.375 5.102
-3.482 1.651 3.676
As Rh Ba
1 1 2
direct
0.500 0.500 0.500
0.750 0.750 0.750
0.000 0.000 0.000
0.250 0.250 0.250
```

Computed properties:
The calculation puts the formation enthalpy at 0 K at -0.213 eV per atom. The calculation puts the total magnetization at 0.0 Bohr magnetons per cell. The calculation puts the electronic total energy at -16.7 eV/cell.


Record 2
VASP calculation (PBE) on NaSr4Hg after structural relaxation.

The structure in POSCAR format:
```
NaSr4Hg
1.0
-3.736 -1.478 0.962
1.151 -3.752 -1.293
4.962 -3.345 14.129
Na Sr Hg
1 4 1
direct
0.000 0.000 0.000
0.500 0.500 0.828
0.500 0.500 0.172
0.000 0.000 0.623
0.000 0.000 0.377
0.500 0.500 0.500
```

Computed properties:
The calculation puts the formation enthalpy at 0 K at -0.177 eV per atom. The calculation puts the total magnetization at 0.0 Bohr magnetons per cell. The calculation puts the electronic total energy at -9.4 eV/cell.


Record 3
VASP calculation (PBE) on La4HoEr15 after structural relaxation.

The structure in POSCAR format:
```
La4HoEr15
1.0
5.046 0.000 0.000
0.000 5.046 0.000
0.000 0.000 25.049
La Ho Er
4 1 15
direct
0.000 0.000 0.200
0.000 0.000 0.399
0.000 0.000 0.601
0.000 0.000 0.800
0.000 0.000 0.000
0.500 0.500 0.000
0.500 0.500 0.198
0.500 0.500 0.400
0.500 0.500 0.600
0.500 0.500 0.802
0.500 0.000 0.097
0.500 0.000 0.299
0.500 0.000 0.500
0.500 0.000 0.701
0.500 0.000 0.903
0.000 0.500 0.097
0.000 0.500 0.299
0.000 0.500 0.500
0.000 0.500 0.701
0.000 0.500 0.903
```

Computed properties:
The calculation puts the formation enthalpy at 0 K at 0.035 eV per atom. The calculation puts the total magnetization at 0.0 Bohr magnetons per cell. The calculation puts the electronic total energy at -92.0 eV/cell.


Record 4
VASP calculation (PBE) on SrScBr2 after structural relaxation.

The structure in POSCAR format:
```
SrScBr2
1.0
-3.959 -0.695 3.486
-2.327 -3.438 -3.328
1.920 -2.859 1.611
Br Sc Sr
2 1 1
direct
0.000 0.000 0.000
0.500 0.500 0.000
0.500 0.000 0.500
0.000 0.500 0.500
```

Computed properties:
As for the uncorrected formation energy: -77.7 kJ/mol of atoms. The calculation puts the total magnetization at 2.2 Bohr magnetons per cell. The calculation puts the electronic total energy at -14.6 eV/cell.


Record 5
VASP calculation (PBE) on Hf3TiPt12 after structural relaxation.

The structure in POSCAR format:
```
Hf3TiPt12
1.0
4.016 0.000 0.000
0.000 4.016 0.000
0.000 0.000 16.012
Hf Ti Pt
3 1 12
direct
0.000 0.000 0.247
0.000 0.000 0.500
0.000 0.000 0.753
0.000 0.000 0.000
0.500 0.500 0.000
0.500 0.500 0.247
0.500 0.500 0.500
0.500 0.500 0.753
0.500 0.000 0.121
0.500 0.000 0.374
0.500 0.000 0.626
0.500 0.000 0.879
0.000 0.500 0.121
0.000 0.500 0.374
0.000 0.500 0.626
0.000 0.500 0.879
```

Computed properties:
The calculation puts the formation enthalpy at 0 K at -1.046 eV per atom. The calculation puts the total magnetization at 0.0 Bohr magnetons per cell. The calculation puts the electronic total energy at -127.0 eV/cell.


Record 6
VASP calculation (PBE) on Ba4Sb2As2Pd after structural relaxation.

The structure in POSCAR format:
```
Ba4Sb2As2Pd
1.0
-3.498 5.065 2.203
-5.930 -3.596 -0.239
0.225 -2.296 6.544
Ba Sb As Pd
4 2 2 1
direct
0.235 0.602 0.118
0.765 0.882 0.398
0.765 0.398 0.882
0.235 0.118 0.602
0.337 0.606 0.606
0.663 0.394 0.394
0.134 0.091 0.091
0.866 0.909 0.909
0.500 0.000 0.000
```

Computed properties:
As for the uncorrected formation energy: -85.3 kJ/mol of atoms. The calculation puts the total magnetization at 0.0 Bohr magnetons per cell. The calculation puts the electronic total energy at -38.4 eV/cell.